Material: Pu2ZrS5
Method: DFT, PBE-GGA
State: relaxed Values from VASP.

Cell and atoms, written as Quantum ESPRESSO input:
```
&SYSTEM
  ibrav = 0, nat = 32, ntyp = 3
/
ATOMIC_SPECIES
Pu 244.00 Pu.upf
Zr 91.22 Zr.upf
S 32.06 S.upf
ATOMIC_POSITIONS crystal
Pu 0.174 0.000 0.045
Pu 0.174 0.500 0.045
Pu 0.326 0.000 0.545
Pu 0.326 0.500 0.545
Pu 0.674 0.000 0.455
Pu 0.674 0.500 0.455
Pu 0.826 0.000 0.955
Pu 0.826 0.500 0.955
Zr 0.010 0.250 0.577
Zr 0.490 0.750 0.077
Zr 0.510 0.250 0.923
Zr 0.990 0.750 0.423
S 0.002 0.250 0.952
S 0.084 0.539 0.674
S 0.084 0.961 0.674
S 0.191 0.250 0.346
S 0.212 0.750 0.325
S 0.288 0.250 0.825
S 0.309 0.750 0.846
S 0.416 0.039 0.174
S 0.416 0.461 0.174
S 0.498 0.750 0.452
S 0.502 0.250 0.548
S 0.584 0.539 0.826
S 0.584 0.961 0.826
S 0.691 0.250 0.154
S 0.712 0.750 0.175
S 0.788 0.250 0.675
S 0.809 0.750 0.654
S 0.916 0.039 0.326
S 0.916 0.461 0.326
S 0.998 0.750 0.048
CELL_PARAMETERS angstrom
11.323 0.000 0.000
0.000 7.932 0.000
0.000 0.000 7.220
```

The calculation puts the total energy at -8.869 eV/atom. As for the space-group type: No. 62. The calculation puts the density of states at the Fermi level at 59.558 states/eV/cell. For the formation energy without anion corrections, the calculation gives -1.637 eV/atom. As for the total magnetization: 1.25 μB per atom.